a | The following is a PBEsol calculation of a geometry-optimized CdCo2Te structure, from Alexandria via LeMat-Bulk.

Unit cell a=6.815 b=6.815 c=5.768 alpha=90.00 beta=90.00 gamma=90.00
Space group I-42d (No. 122)
Symmetry-distinct sites (fractional):
Cd 0.000 0.000 0.000 (multiplicity 4)
Co 0.220 0.750 0.625 (multiplicity 8)
Te 0.000 0.000 0.500 (multiplicity 4)

Summary:
Total magnetic moment = 0.00 μB/f.u.
Fermi-level density of states = 15.86 states/eV/cell

b | The following is a PBEsol calculation of a geometry-optimized CdCo2Te structure, from Alexandria via LeMat-Bulk.

Unit cell a=4.325 b=4.325 c=3.223 alpha=90.00 beta=90.00 gamma=90.00
Space group P4/mmm (No. 123)
Symmetry-distinct sites (fractional):
Cd 0.000 0.000 0.000 (multiplicity 1)
Co 0.000 0.500 0.500 (multiplicity 2)
Te 0.500 0.500 0.000 (multiplicity 1)

Summary:
Total magnetic moment = 1.66 μB/f.u.
Fermi-level density of states = 2.67 states/eV/cell

c | The following is a PBEsol calculation of a geometry-optimized CdCo2Te structure, from Alexandria via LeMat-Bulk.

Unit cell a=3.831 b=3.542 c=9.413 alpha=90.00 beta=90.00 gamma=90.00
Space group Amm2 (No. 38)
Symmetry-distinct sites (fractional):
Cd 0.000 0.000 0.000 (multiplicity 2)
Co 0.000 0.000 0.716 (multiplicity 2)
Co 0.500 0.000 0.575 (multiplicity 2)
Te 0.500 0.000 0.290 (multiplicity 2)

Summary:
Total magnetic moment = 1.87 μB/f.u.
Fermi-level density of states = 11.94 states/eV/cell

Ranked by calculated energy, most stable first: c, b, a.

a | The following is a PBEsol calculation of a geometry-optimized TlCd2Co structure, from Alexandria via LeMat-Bulk.

Unit cell a=5.613 b=8.267 c=3.249 alpha=90.00 beta=90.00 gamma=90.00
Space group Cmmm (No. 65)
Symmetry-distinct sites (fractional):
Tl 0.000 0.000 0.000 (multiplicity 2)
Cd 0.250 0.250 0.500 (multiplicity 4)
Co 0.000 0.500 0.000 (multiplicity 2)

Summary:
Total magnetic moment = 1.28 μB/f.u.
Fermi-level density of states = 8.88 states/eV/cell

b | The following is a PBEsol calculation of a geometry-optimized TlCd2Co structure, from Alexandria via LeMat-Bulk.

Unit cell a=4.132 b=4.132 c=8.447 alpha=90.00 beta=90.00 gamma=90.00
Space group I-4m2 (No. 119)
Symmetry-distinct sites (fractional):
Tl 0.000 0.000 0.000 (multiplicity 2)
Cd 0.000 0.000 0.500 (multiplicity 2)
Cd 0.000 0.500 0.250 (multiplicity 2)
Co 0.000 0.500 0.750 (multiplicity 2)

Summary:
Total magnetic moment = 0.54 μB/f.u.
Fermi-level density of states = 5.92 states/eV/cell

Ranked by calculated energy, most stable first: b, a.

a | The following is a PBEsol calculation of a geometry-optimized Cd2CoW structure, from Alexandria via LeMat-Bulk.

Unit cell a=3.854 b=3.854 c=4.296 alpha=90.00 beta=90.00 gamma=90.00
Space group P4/mmm (No. 123)
Symmetry-distinct sites (fractional):
Cd 0.000 0.500 0.000 (multiplicity 2)
Co 0.000 0.000 0.500 (multiplicity 1)
W 0.500 0.500 0.500 (multiplicity 1)

Summary:
Total magnetic moment = 1.97 μB/f.u.
Fermi-level density of states = 4.27 states/eV/cell

b | The following is a PBEsol calculation of a geometry-optimized Cd2CoW structure, from Alexandria via LeMat-Bulk.

Unit cell a=2.8173 b=2.8173 c=28.0610 alpha=90.00 beta=90.00 gamma=120.00
Space group R-3m (No. 166, hexagonal axes)
Symmetry-distinct sites (fractional):
Cd 0.0000 0.0000 0.2445 (multiplicity 6)
Co 0.0000 0.0000 0.5000 (multiplicity 3)
W 0.0000 0.0000 0.0000 (multiplicity 3)

Summary:
Total magnetic moment = 1.63 μB/f.u.
Fermi-level density of states = 13.10 states/eV/cell

Ranked by calculated energy, most stable first: b, a.

a | The following is a PBEsol calculation of a geometry-optimized Cr3Cd structure, from Alexandria via LeMat-Bulk.

Unit cell a=2.7563 b=2.7563 c=24.6713 alpha=90.00 beta=90.00 gamma=120.00
Space group R-3m (No. 166, hexagonal axes)
Symmetry-distinct sites (fractional):
Cr 0.0000 0.0000 0.0000 (multiplicity 3)
Cr 0.0000 0.0000 0.2639 (multiplicity 6)
Cd 0.0000 0.0000 0.5000 (multiplicity 3)

Summary:
Total magnetic moment = 1.09 μB/f.u.
Fermi-level density of states = 12.15 states/eV/cell

b | The following is a PBEsol calculation of a geometry-optimized Cr3Cd structure, from Alexandria via LeMat-Bulk.

Unit cell a=3.731 b=3.731 c=3.731 alpha=90.00 beta=90.00 gamma=90.00
Space group Pm-3m (No. 221)
Symmetry-distinct sites (fractional):
Cr 0.000 0.000 0.500 (multiplicity 3)
Cd 0.500 0.500 0.500 (multiplicity 1)

Summary:
Total magnetic moment = 0.00 μB/f.u.
Fermi-level density of states = 3.06 states/eV/cell

Ranked by calculated energy, most stable first: a, b.

a | The following is a PBEsol calculation of a geometry-optimized MnCrCd2 structure, from Alexandria via LeMat-Bulk.

Unit cell a=4.613 b=4.613 c=3.217 alpha=90.00 beta=90.00 gamma=90.00
Space group P4/mmm (No. 123)
Symmetry-distinct sites (fractional):
Mn 0.000 0.000 0.000 (multiplicity 1)
Cr 0.500 0.500 0.000 (multiplicity 1)
Cd 0.000 0.500 0.500 (multiplicity 2)

Summary:
Total magnetic moment = 7.43 μB/f.u.
Fermi-level density of states = 2.79 states/eV/cell

b | The following is a PBEsol calculation of a geometry-optimized MnCrCd2 structure, from Alexandria via LeMat-Bulk.

Unit cell a=2.965 b=3.862 c=5.934 alpha=90.00 beta=90.00 gamma=90.00
Space group Pmmm (No. 47)
Symmetry-distinct sites (fractional):
Mn 0.000 0.000 0.000 (multiplicity 1)
Cr 0.000 0.000 0.500 (multiplicity 1)
Cd 0.500 0.500 0.248 (multiplicity 2)

Summary:
Total magnetic moment = 7.23 μB/f.u.
Fermi-level density of states = 2.97 states/eV/cell

Ranked by calculated energy, most stable first: a, b.

a | The following is a PBEsol calculation of a geometry-optimized CrCdO4 structure, from Alexandria via LeMat-Bulk.

Unit cell a=10.418 b=9.693 c=7.078 alpha=90.00 beta=101.97 gamma=90.00
Space group C2/m (No. 12)
Symmetry-distinct sites (fractional):
Cr 0.000 0.246 0.000 (multiplicity 4)
Cr 0.226 0.000 0.581 (multiplicity 4)
Cd 0.000 0.314 0.500 (multiplicity 4)
Cd 0.212 0.500 0.874 (multiplicity 4)
O 0.045 0.343 0.827 (multiplicity 8)
O 0.124 0.152 0.101 (multiplicity 8)
O 0.141 0.139 0.518 (multiplicity 8)
O 0.145 0.500 0.539 (multiplicity 4)
O 0.216 0.500 0.188 (multiplicity 4)

Summary:
Total magnetic moment = 0.00 μB/f.u.
Fermi-level density of states = 0.00 states/eV/cell

b | The following is a PBEsol calculation of a geometry-optimized CrCdO4 structure, from Alexandria via LeMat-Bulk.

Unit cell a=5.664 b=8.743 c=6.957 alpha=90.00 beta=90.00 gamma=90.00
Space group Cmcm (No. 63)
Symmetry-distinct sites (fractional):
Cr 0.000 0.141 0.250 (multiplicity 4)
Cd 0.000 0.500 0.000 (multiplicity 4)
O 0.000 0.246 0.059 (multiplicity 8)
O 0.244 0.031 0.250 (multiplicity 8)

Summary:
Total magnetic moment = 0.00 μB/f.u.
Fermi-level density of states = 0.00 states/eV/cell

Ranked by calculated energy, most stable first: b, a.

a | The following is a PBEsol calculation of a geometry-optimized CrCd2Os structure, from Alexandria via LeMat-Bulk.

Unit cell a=4.105 b=4.105 c=7.609 alpha=90.00 beta=90.00 gamma=90.00
Space group I-4m2 (No. 119)
Symmetry-distinct sites (fractional):
Cr 0.000 0.000 0.000 (multiplicity 2)
Cd 0.000 0.000 0.500 (multiplicity 2)
Cd 0.000 0.500 0.250 (multiplicity 2)
Os 0.000 0.500 0.750 (multiplicity 2)

Summary:
Total magnetic moment = 2.39 μB/f.u.
Fermi-level density of states = 9.13 states/eV/cell

b | The following is a PBEsol calculation of a geometry-optimized CrCd2Os structure, from Alexandria via LeMat-Bulk.

Unit cell a=3.886 b=3.886 c=8.577 alpha=90.00 beta=90.00 gamma=90.00
Space group I4/mmm (No. 139)
Symmetry-distinct sites (fractional):
Cr 0.000 0.000 0.000 (multiplicity 2)
Cd 0.000 0.500 0.250 (multiplicity 4)
Os 0.000 0.000 0.500 (multiplicity 2)

Summary:
Total magnetic moment = 2.82 μB/f.u.
Fermi-level density of states = 8.32 states/eV/cell

c | The following is a PBEsol calculation of a geometry-optimized CrCd2Os structure, from Alexandria via LeMat-Bulk.

Unit cell a=5.446 b=9.521 c=2.782 alpha=90.00 beta=114.92 gamma=90.00
Space group C2/m (No. 12)
Symmetry-distinct sites (fractional):
Cr 0.000 0.000 0.000 (multiplicity 2)
Cd 0.250 0.250 0.500 (multiplicity 4)
Os 0.000 0.500 0.000 (multiplicity 2)

Summary:
Total magnetic moment = 2.99 μB/f.u.
Fermi-level density of states = 7.62 states/eV/cell

Ranked by calculated energy, most stable first: b, a, c.

a | The following is a PBEsol calculation of a geometry-optimized CrCdRe structure, from Alexandria via LeMat-Bulk.

Unit cell a=2.991 b=2.991 c=10.219 alpha=90.00 beta=90.00 gamma=90.00
Space group I4mm (No. 107)
Symmetry-distinct sites (fractional):
Cr 0.000 0.000 0.000 (multiplicity 2)
Cd 0.000 0.000 0.315 (multiplicity 2)
Re 0.000 0.000 0.617 (multiplicity 2)

Summary:
Total magnetic moment = 0.00 μB/f.u.
Fermi-level density of states = 4.47 states/eV/cell

b | The following is a PBEsol calculation of a geometry-optimized CrCdRe structure, from Alexandria via LeMat-Bulk.

Unit cell a=6.090 b=6.090 c=6.090 alpha=90.00 beta=90.00 gamma=90.00
Space group F-43m (No. 216)
Symmetry-distinct sites (fractional):
Cr 0.000 0.000 0.000 (multiplicity 4)
Cd 0.250 0.250 0.750 (multiplicity 4)
Re 0.000 0.000 0.500 (multiplicity 4)

Summary:
Total magnetic moment = 1.87 μB/f.u.
Fermi-level density of states = 12.48 states/eV/cell

Ranked by calculated energy, most stable first: a, b.